PBE Pr3SmDy8, relaxed; energy relative to the elements = 330 kJ/mol of formula units; calculated volume = 424.8 Å³/f.u.
1.0
-3.233 5.710 5.753
3.233 -5.710 5.753
3.233 5.710 -5.753
Pr Sm Dy
3 1 8
Cartesian
0.000 0.000 0.000 Pr
3.233 0.000 2.898 Pr
0.000 5.710 2.855 Pr
0.000 0.000 5.753 Sm
3.233 3.762 -2.873 Dy
1.608 2.888 0.000 Dy
1.624 -2.822 5.753 Dy
0.000 1.948 2.880 Dy
3.233 3.762 2.873 Dy
1.608 8.533 0.000 Dy
1.624 2.822 5.753 Dy
0.000 1.948 8.626 Dy